La15Nd2Cd2: relaxed, PBE.

calculated formation energy = 120.5 meV/atom
calculated volume = 1995.6 Å³ per cell

Unit cell a=11.2138 b=11.2138 c=18.3245 alpha=90.00 beta=90.00 gamma=120.00
Space group R-3m (No. 166, hexagonal axes)
One atom of each set of equivalent atoms:
La: 0.0000 0.2879 0.0000 [18 per cell]
La: 0.0000 0.5000 0.5000 [9 per cell]
La: 0.0447 0.5223 0.1280 [18 per cell]
Nd: 0.0000 0.0000 0.2960 [6 per cell]
Cd: 0.0000 0.0000 0.0942 [6 per cell]